Here is crystalline Co2Hg2H at its relaxed geometry from the Alexandria database. Energies are from PBE-GGA.

abc: 7.6408 7.6408 7.6408
angles: 155.06 155.06 35.56
Fractional positions:
Co: 0.2500 0.7500 0.5000
Co: 0.7500 0.2500 0.5000
Hg: 0.0961 0.0961 0.0000
Hg: 0.9039 0.9039 0.0000
H: 0.5000 0.5000 0.0000

Summary:
The calculation puts the calculated density at 10.90 g/cm3. As for the electronic total energy: -2.986 eV/atom.